(1)
Entry from Alexandria: crystalline Si2BiOsSe at its relaxed geometry (PBE-GGA). Values from VASP.

Structure (Quantum ESPRESSO input):
```
&SYSTEM
  ibrav = 0, nat = 5, ntyp = 4
/
ATOMIC_SPECIES
Si 28.09 Si.upf
Bi 208.98 Bi.upf
Os 190.23 Os.upf
Se 78.96 Se.upf
CELL_PARAMETERS angstrom
4.5442 0.0000 0.0000
0.0000 4.5442 0.0000
0.0000 0.0000 5.7702
ATOMIC_POSITIONS angstrom
Si 0.0000 2.2721 0.0000
Si 2.2721 0.0000 0.0000
Bi 0.0000 0.0000 2.8851
Os 0.0000 0.0000 0.0000
Se 2.2721 2.2721 2.8851
```

SG   No. 123
Raw formation energy   231 meV/atom
V   119.15 Å³/cell
N(E_F)   2.76 states/eV/cell



(2)
Entry from Alexandria: crystalline SiBi2OsSe at its relaxed geometry (PBE-GGA). Values from VASP.

Structure (Quantum ESPRESSO input):
```
&SYSTEM
  ibrav = 0, nat = 5, ntyp = 4
/
ATOMIC_SPECIES
Si 28.09 Si.upf
Bi 208.98 Bi.upf
Os 190.23 Os.upf
Se 78.96 Se.upf
CELL_PARAMETERS angstrom
5.4327 0.0000 0.0000
0.0000 5.4327 0.0000
0.0000 0.0000 4.6652
ATOMIC_POSITIONS angstrom
Si 0.0000 0.0000 0.0000
Bi 0.0000 2.7164 2.3326
Bi 2.7164 0.0000 2.3326
Os 2.7164 2.7164 0.0000
Se 0.0000 0.0000 2.3326
```

SG   No. 123
Raw formation energy   1632 meV/atom
V   137.69 Å³/cell
N(E_F)   4.65 states/eV/cell



(3)
Entry from Alexandria: crystalline SrBiOsSe2 at its relaxed geometry (PBE-GGA). Values from VASP.

Structure (Quantum ESPRESSO input):
```
&SYSTEM
  ibrav = 0, nat = 5, ntyp = 4
/
ATOMIC_SPECIES
Sr 87.62 Sr.upf
Bi 208.98 Bi.upf
Os 190.23 Os.upf
Se 78.96 Se.upf
CELL_PARAMETERS angstrom
5.5243 0.0000 0.0000
0.0000 5.5243 0.0000
0.0000 0.0000 6.2572
ATOMIC_POSITIONS angstrom
Sr 0.0000 0.0000 0.0000
Bi 0.0000 0.0000 3.1286
Os 2.7621 2.7621 0.0000
Se 0.0000 2.7621 3.1286
Se 2.7621 0.0000 3.1286
```

SG   No. 123
Raw formation energy   1220 meV/atom
V   190.95 Å³/cell
N(E_F)   4.97 states/eV/cell



(4)
Entry from Alexandria: crystalline TcBiOsSe2 at its relaxed geometry (PBE-GGA). Values from VASP.

Structure (Quantum ESPRESSO input):
```
&SYSTEM
  ibrav = 0, nat = 5, ntyp = 4
/
ATOMIC_SPECIES
Tc 98.00 Tc.upf
Bi 208.98 Bi.upf
Os 190.23 Os.upf
Se 78.96 Se.upf
CELL_PARAMETERS angstrom
4.9105 0.0000 0.0000
0.0000 4.9105 0.0000
0.0000 0.0000 4.8452
ATOMIC_POSITIONS angstrom
Tc 0.0000 0.0000 0.0000
Bi 2.4552 2.4552 0.0000
Os 0.0000 0.0000 2.4226
Se 0.0000 2.4552 2.4226
Se 2.4552 0.0000 2.4226
```

SG   No. 123
Raw formation energy   938 meV/atom
V   116.83 Å³/cell
N(E_F)   5.41 states/eV/cell



(5)
Entry from Alexandria: crystalline Th3BiOsSe at its relaxed geometry (PBE-GGA). Values from VASP.

Structure (Quantum ESPRESSO input):
```
&SYSTEM
  ibrav = 0, nat = 12, ntyp = 4
/
ATOMIC_SPECIES
Th 232.04 Th.upf
Bi 208.98 Bi.upf
Os 190.23 Os.upf
Se 78.96 Se.upf
CELL_PARAMETERS angstrom
8.1831 0.0000 0.0000
0.0000 4.3607 0.0000
-3.8483 0.0000 9.5209
ATOMIC_POSITIONS angstrom
Th -1.2234 1.0902 3.4108
Th -2.0575 1.0902 9.3120
Th 1.0637 3.2705 5.7414
Th 3.2711 1.0902 3.7795
Th 6.3923 3.2705 0.2089
Th 5.5583 3.2705 6.1101
Bi 1.0971 3.2705 2.1767
Bi 3.2378 1.0902 7.3442
Os -0.7235 1.0902 6.2713
Os 5.0584 3.2705 3.2496
Se -0.2973 3.2705 8.3286
Se 4.6321 1.0902 1.1923
```

SG   No. 11
Raw formation energy   -680 meV/atom
V   339.75 Å³/cell
N(E_F)   8.89 states/eV/cell



(6)
Entry from Alexandria: crystalline Th4BiOsSe2 at its relaxed geometry (PBE-GGA). Values from VASP.

Structure (Quantum ESPRESSO input):
```
&SYSTEM
  ibrav = 0, nat = 8, ntyp = 4
/
ATOMIC_SPECIES
Th 232.04 Th.upf
Bi 208.98 Bi.upf
Os 190.23 Os.upf
Se 78.96 Se.upf
CELL_PARAMETERS angstrom
7.4857 0.0000 0.0000
0.0000 4.2056 0.0000
-2.5041 0.0000 7.4034
ATOMIC_POSITIONS angstrom
Th 1.1221 0.0000 1.5737
Th -0.0596 2.1028 5.7823
Th 5.0412 2.1028 1.6211
Th 3.8595 0.0000 5.8296
Bi -1.2520 0.0000 3.7017
Os 0.0000 2.1028 0.0000
Se 3.7429 0.0000 0.0000
Se 2.4908 2.1028 3.7017
```

SG   No. 10
Raw formation energy   -988 meV/atom
V   233.07 Å³/cell
N(E_F)   6.10 states/eV/cell